Version i
Mg6TiNi | GGA-PBE | optimized geometry

As for the calculated volume: 156.43 Å³/f.u. As for the crystal system: orthorhombic. As for the magnetization: 0.28 Bohr magnetons per cell. The value obtained for the mass density is 2.7 g/cm3.

abc: 4.745 6.249 6.249
angles: 57.60 90.00 90.00
Sites, in units of the cell vectors:
Mg (0.000, 0.000, 0.000)
Mg (0.000, 0.015, 0.496)
Mg (0.000, 0.496, 0.015)
Mg (0.500, 0.353, 0.837)
Mg (0.500, 0.837, 0.353)
Mg (0.500, 0.840, 0.840)
Ti (0.500, 0.364, 0.364)
Ni (0.000, 0.476, 0.476)


Version ii
Mg6TiNi | GGA-PBE | optimized geometry

As for the calculated volume: 155.48 Å³/f.u. As for the crystal system: orthorhombic. As for the magnetization: 1.00 Bohr magnetons per cell. The value obtained for the mass density is 2.7 g/cm3.

abc: 4.824 6.213 6.213
angles: 56.62 90.00 90.00
Sites, in units of the cell vectors:
Mg (0.000, 0.000, 0.000)
Mg (0.000, 0.008, 0.504)
Mg (0.000, 0.484, 0.484)
Mg (0.000, 0.504, 0.008)
Mg (0.500, 0.346, 0.849)
Mg (0.500, 0.849, 0.346)
Ti (0.500, 0.848, 0.848)
Ni (0.500, 0.334, 0.334)


Stability ranking, top entry: version i; the second entry is 0.032 eV/atom less favorable.